Rb2Ni2F7: optimized geometry, PBE with a Hubbard U.

CIF file:
```
data_Rb2Ni2F7
_space_group_name_H-M_alt 'C 1 2/m 1'
_space_group_IT_number 12
_space_group_name_Hall '-C 2y'
_cell_length_a 7.6723
_cell_length_b 12.6821
_cell_length_c 3.7867
_cell_angle_alpha 90.00
_cell_angle_beta 90.19
_cell_angle_gamma 90.00
loop_
_atom_site_label
_atom_site_type_symbol
_atom_site_fract_x
_atom_site_fract_y
_atom_site_fract_z
Rb1 Rb 0.0000 0.2320 0.0000
Ni1 Ni 0.2447 0.5000 0.4975
F1 F 0.0000 0.0000 0.5000
F2 F 0.2038 0.5000 0.9972
F3 F 0.2217 0.3536 0.4975
```

Summary:
Crystal system: monoclinic
Calculated total energy in eV/atom: -4.02